# Cu2MoCl8

An optimized crystal structure of Cu2MoCl8 (PBE-GGA, Alexandria via LeMat-Bulk). Values from VASP.

```
&SYSTEM
  ibrav = 0, nat = 11, ntyp = 3
/
ATOMIC_SPECIES
Cu 63.55 Cu.upf
Mo 95.94 Mo.upf
Cl 35.45 Cl.upf
CELL_PARAMETERS angstrom
7.020 -3.609 0.000
7.020 3.609 0.000
-0.119 0.000 5.895
ATOMIC_POSITIONS crystal
Cu 0.171 0.171 0.422
Cu 0.829 0.829 0.578
Mo 0.000 0.000 0.000
Cl 0.142 0.142 0.793
Cl 0.161 0.706 0.758
Cl 0.294 0.839 0.242
Cl 0.310 0.310 0.278
Cl 0.690 0.690 0.722
Cl 0.706 0.161 0.758
Cl 0.839 0.294 0.242
Cl 0.858 0.858 0.207
```

Its symmetry is No. 12. As for the total energy: -40.20 eV per cell. As for the calculated volume: 27.2 A^3/atom. As for the magnetization: 0.1 μB/f.u.

***

# CuMo2Cl

An optimized crystal structure of CuMo2Cl (PBE-GGA, Alexandria via LeMat-Bulk). Values from VASP.

```
&SYSTEM
  ibrav = 0, nat = 4, ntyp = 3
/
ATOMIC_SPECIES
Cu 63.55 Cu.upf
Mo 95.94 Mo.upf
Cl 35.45 Cl.upf
CELL_PARAMETERS angstrom
1.427 0.824 8.476
-1.427 0.824 8.476
0.000 -1.648 8.476
ATOMIC_POSITIONS crystal
Cu 0.000 0.000 0.000
Mo 0.249 0.249 0.249
Mo 0.751 0.751 0.751
Cl 0.500 0.500 0.500
```

Its symmetry is No. 166. As for the total energy: -25.65 eV per cell. As for the calculated volume: 14.9 A^3/atom. As for the magnetization: 0.0 μB/f.u. The excess energy over the best structure of this formula in the dataset comes out at 251 meV/atom.

***

# CuMo2Cl

An optimized crystal structure of CuMo2Cl (PBE-GGA, Alexandria via LeMat-Bulk). Values from VASP.

```
&SYSTEM
  ibrav = 0, nat = 4, ntyp = 3
/
ATOMIC_SPECIES
Cu 63.55 Cu.upf
Mo 95.94 Mo.upf
Cl 35.45 Cl.upf
CELL_PARAMETERS angstrom
0.000 3.060 3.060
3.060 0.000 3.060
3.060 3.060 0.000
ATOMIC_POSITIONS crystal
Cu 0.000 0.000 0.000
Mo 0.250 0.250 0.250
Mo 0.750 0.750 0.750
Cl 0.500 0.500 0.500
```

Its symmetry is No. 225. As for the total energy: -24.38 eV per cell. As for the calculated volume: 14.3 A^3/atom. As for the magnetization: 0.0 μB/f.u. The excess energy over the best structure of this formula in the dataset comes out at 570 meV/atom.